A plane-wave DFT calculation with PBE was carried out for an optimized crystal structure of AsWAu2.

ΔH_f (0 K) = 386 meV/atom
density = 15.42 Mg/m³
V = 70.3 Å³/cell
total magnetic moment = 0.00 μB/f.u.
DOS at the Fermi energy = 2.7 states/eV/cell

Cell: 4.7724 4.7724 5.4379 Å, 81.65 81.65 35.04°
Positions (direct):
Au 0.0052 0.0052 0.9845
Au 0.7579 0.7579 0.7459
W 0.4983 0.4983 0.4712
As 0.2386 0.2386 0.2984